A plane-wave DFT calculation with GGA-PBE was carried out for crystalline Ho3AlAg at its relaxed geometry.

Calculated values
Spin magnetization ... 0.0 μB per formula unit
Energy above the most stable polymorph in this dataset ... 0.1367 eV/atom
ΔH_f (0 K) ... -0.12 eV per atom
Raw total energy ... -4.18 eV per atom
Crystal system ... monoclinic

abc: 11.757 6.216 14.180
angles: 90.00 95.12 90.00
Space group C2/c (No. 15)
Inequivalent atoms, fractional coordinates:
Ho (0.064, 0.111, 0.107) [8 per cell]
Ho (0.166, 0.198, 0.794) [8 per cell]
Ho (0.190, 0.319, 0.402) [8 per cell]
Al (0.049, 0.383, 0.581) [8 per cell]
Ag (0.000, 0.429, 0.250) [4 per cell]
Ag (0.250, 0.250, 0.000) [4 per cell]